[1]
CaMo2Ir after structural relaxation, computed with GGA-PBE.

Its energy is -7.453 eV/atom. For the relative energy among the computed polymorphs, the calculation gives 167 kJ/mol of formula units. The formation energy is 678 meV per atom.

The structure belongs to space group P4/mmm (No. 123); the cell edges are 4.859, 4.859 and 2.889 Å and the angles 90.00°, 90.00° and 90.00°. The inequivalent atoms are Ca at (0.000, 0.000, 0.000), Mo at (0.000, 0.500, 0.500) and Ir at (0.500, 0.500, 0.000).

[2]
CaMo2Ir after structural relaxation, computed with GGA-PBE.

Its energy is -7.729 eV/atom. For the relative energy among the computed polymorphs, the calculation gives 61 kJ/mol of formula units. The formation energy is 402 meV per atom.

The structure belongs to space group C2/m (No. 12); the cell edges are 5.395, 9.492 and 2.781 Å and the angles 90.00°, 106.50° and 90.00°. The inequivalent atoms are Ca at (0.000, 0.000, 0.000), Mo at (0.250, 0.250, 0.500) and Ir at (0.000, 0.500, 0.000).